# MoRh2 | Alexandria via LeMat-Bulk | GGA-PBE | optimized geometry
# Raw total energy: -25.89 eV for the cell shown
data_MoRh2
_space_group_name_H-M_alt 'P -3 m 1'
_space_group_IT_number 164
_space_group_name_Hall '-P 3 2"'
_cell_length_a 2.7489
_cell_length_b 2.7489
_cell_length_c 6.7478
_cell_angle_alpha 90.00
_cell_angle_beta 90.00
_cell_angle_gamma 120.00
loop_
_atom_site_label
_atom_site_type_symbol
_atom_site_fract_x
_atom_site_fract_y
_atom_site_fract_z
Mo1 Mo 0.0000 0.0000 0.0000
Rh1 Rh 0.3333 0.6667 0.3256